(1)
A relaxed InFe2Br crystal, computed with GGA-PBE.

CIF file:
```
data_InFe2Br
_space_group_name_H-M_alt 'C 1 m 1'
_space_group_IT_number 8
_cell_length_a 15.292
_cell_length_b 3.157
_cell_length_c 3.233
_cell_angle_alpha 90.00
_cell_angle_beta 90.13
_cell_angle_gamma 90.00
loop_
_space_group_symop_operation_xyz
'x,y,z'
'x,-y,z'
'x+1/2,y+1/2,z'
'x+1/2,-y+1/2,z'
loop_
_atom_site_label
_atom_site_fract_x
_atom_site_fract_y
_atom_site_fract_z
In1 0.000 0.000 0.000
Fe1 0.316 0.500 0.987
Fe2 0.394 0.000 0.494
Br1 0.190 0.000 0.893
```

- ΔE_f (raw): 0.80 eV/f.u.
- DFT total energy: -5.13 eV/atom
- Excess energy over the best structure of this formula in the dataset: 0.0000 eV per atom
- D(E_F): 6.5 states/eV/cell
- Crystal system: monoclinic
- M_tot: 10.68 μB/cell

(2)
A relaxed In4FeBr crystal, computed with GGA-PBE.

CIF file:
```
data_In4FeBr
_space_group_name_H-M_alt 'F -4 3 m'
_space_group_IT_number 216
_space_group_name_Hall 'F -4 2 3'
_cell_length_a 8.658
_cell_length_b 8.658
_cell_length_c 8.658
_cell_angle_alpha 90.00
_cell_angle_beta 90.00
_cell_angle_gamma 90.00
loop_
_atom_site_label
_atom_site_fract_x
_atom_site_fract_y
_atom_site_fract_z
In1 0.125 0.125 0.125
Fe1 0.000 0.000 0.500
Br1 0.250 0.250 0.750
```

- ΔE_f (raw): 2.65 eV/f.u.
- DFT total energy: -3.07 eV/atom
- D(E_F): 17.2 states/eV/cell
- Crystal system: cubic
- M_tot: 13.28 μB/cell

(3)
A relaxed InFe2Br crystal, computed with GGA-PBE.

CIF file:
```
data_InFe2Br
_space_group_name_H-M_alt 'C 1 2/m 1'
_space_group_IT_number 12
_cell_length_a 9.410
_cell_length_b 3.143
_cell_length_c 7.595
_cell_angle_alpha 90.00
_cell_angle_beta 127.88
_cell_angle_gamma 90.00
loop_
_space_group_symop_operation_xyz
'x,y,z'
'-x,-y,-z'
'-x,y,-z'
'x,-y,z'
'x+1/2,y+1/2,z'
'-x+1/2,-y+1/2,-z'
'-x+1/2,y+1/2,-z'
'x+1/2,-y+1/2,z'
loop_
_atom_site_label
_atom_site_fract_x
_atom_site_fract_y
_atom_site_fract_z
In1 0.000 0.000 0.000
Fe1 0.201 0.000 0.855
Br1 0.000 0.500 0.500
```

- ΔE_f (raw): 1.04 eV/f.u.
- DFT total energy: -5.07 eV/atom
- Excess energy over the best structure of this formula in the dataset: 0.0606 eV per atom
- D(E_F): 6.3 states/eV/cell
- Crystal system: monoclinic
- M_tot: 10.12 μB/cell

(4)
A relaxed InFeBr2 crystal, computed with GGA-PBE.

CIF file:
```
data_InFeBr2
_space_group_name_H-M_alt 'C 1 m 1'
_space_group_IT_number 8
_cell_length_a 10.462
_cell_length_b 3.577
_cell_length_c 7.272
_cell_angle_alpha 90.00
_cell_angle_beta 113.15
_cell_angle_gamma 90.00
loop_
_space_group_symop_operation_xyz
'x,y,z'
'x,-y,z'
'x+1/2,y+1/2,z'
'x+1/2,-y+1/2,z'
loop_
_atom_site_label
_atom_site_fract_x
_atom_site_fract_y
_atom_site_fract_z
In1 0.000 0.000 0.000
Fe1 0.278 0.000 0.001
Br1 0.183 0.500 0.726
Br2 0.333 0.500 0.276
```

- ΔE_f (raw): -0.77 eV/f.u.
- DFT total energy: -3.83 eV/atom
- Excess energy over the best structure of this formula in the dataset: 0.0287 eV per atom
- D(E_F): 4.2 states/eV/cell
- Crystal system: monoclinic
- M_tot: 6.39 μB/cell

(5)
A relaxed InFeBr3 crystal, computed with GGA-PBE.

CIF file:
```
data_InFeBr3
_space_group_name_H-M_alt 'P m -3 m'
_space_group_IT_number 221
_space_group_name_Hall '-P 4 2 3'
_cell_length_a 5.218
_cell_length_b 5.218
_cell_length_c 5.218
_cell_angle_alpha 90.00
_cell_angle_beta 90.00
_cell_angle_gamma 90.00
loop_
_atom_site_label
_atom_site_fract_x
_atom_site_fract_y
_atom_site_fract_z
In1 0.000 0.000 0.000
Fe1 0.500 0.500 0.500
Br1 0.000 0.500 0.500
```

- ΔE_f (raw): -2.04 eV/f.u.
- DFT total energy: -3.65 eV/atom
- D(E_F): 6.2 states/eV/cell
- Crystal system: cubic
- M_tot: 4.00 μB/cell

(6)
A relaxed InFeBr2 crystal, computed with GGA-PBE.

CIF file:
```
data_InFeBr2
_space_group_name_H-M_alt 'F m -3 m'
_space_group_IT_number 225
_space_group_name_Hall '-F 4 2 3'
_cell_length_a 7.361
_cell_length_b 7.361
_cell_length_c 7.361
_cell_angle_alpha 90.00
_cell_angle_beta 90.00
_cell_angle_gamma 90.00
loop_
_atom_site_label
_atom_site_fract_x
_atom_site_fract_y
_atom_site_fract_z
In1 0.000 0.000 0.000
Fe1 0.000 0.000 0.500
Br1 0.250 0.250 0.250
```

- ΔE_f (raw): 0.79 eV/f.u.
- DFT total energy: -3.44 eV/atom
- Excess energy over the best structure of this formula in the dataset: 0.4185 eV per atom
- D(E_F): 9.3 states/eV/cell
- Crystal system: cubic
- M_tot: 13.02 μB/cell

(7)
A relaxed In2FeBr crystal, computed with GGA-PBE.

CIF file:
```
data_In2FeBr
_space_group_name_H-M_alt 'I m m 2'
_space_group_IT_number 44
_cell_length_a 3.190
_cell_length_b 5.590
_cell_length_c 10.600
_cell_angle_alpha 90.00
_cell_angle_beta 90.00
_cell_angle_gamma 90.00
loop_
_space_group_symop_operation_xyz
'x,y,z'
'-x,-y,z'
'-x,y,z'
'x,-y,z'
'x+1/2,y+1/2,z+1/2'
'-x+1/2,-y+1/2,z+1/2'
'-x+1/2,y+1/2,z+1/2'
'x+1/2,-y+1/2,z+1/2'
loop_
_atom_site_label
_atom_site_fract_x
_atom_site_fract_y
_atom_site_fract_z
In1 0.000 0.000 0.000
In2 0.000 0.500 0.215
Fe1 0.000 0.000 0.500
Br1 0.000 0.500 0.816
```

- ΔE_f (raw): 0.72 eV/f.u.
- DFT total energy: -3.72 eV/atom
- Excess energy over the best structure of this formula in the dataset: 0.1171 eV per atom
- D(E_F): 6.2 states/eV/cell
- Crystal system: orthorhombic
- M_tot: 5.88 μB/cell

(8)
A relaxed InFe2Br crystal, computed with GGA-PBE.

CIF file:
```
data_InFe2Br
_space_group_name_H-M_alt 'P 4/m m m'
_space_group_IT_number 123
_space_group_name_Hall '-P 4 2'
_cell_length_a 3.110
_cell_length_b 3.110
_cell_length_c 7.268
_cell_angle_alpha 90.00
_cell_angle_beta 90.00
_cell_angle_gamma 90.00
loop_
_atom_site_label
_atom_site_fract_x
_atom_site_fract_y
_atom_site_fract_z
In1 0.000 0.000 0.000
Fe1 0.500 0.500 0.253
Br1 0.000 0.000 0.500
```

- ΔE_f (raw): 2.28 eV/f.u.
- DFT total energy: -4.76 eV/atom
- Excess energy over the best structure of this formula in the dataset: 0.3712 eV per atom
- D(E_F): 5.5 states/eV/cell
- Crystal system: tetragonal
- M_tot: 5.72 μB/cell

Question: Which formula does entry 8 have?
Answer: InFe2Br

Question: The lowest D(E_F) belongs to which entry?
Answer: number 4

Please write out number 8 again, unchanged.
A relaxed InFe2Br crystal, computed with GGA-PBE.

CIF file:
```
data_InFe2Br
_space_group_name_H-M_alt 'P 4/m m m'
_space_group_IT_number 123
_space_group_name_Hall '-P 4 2'
_cell_length_a 3.110
_cell_length_b 3.110
_cell_length_c 7.268
_cell_angle_alpha 90.00
_cell_angle_beta 90.00
_cell_angle_gamma 90.00
loop_
_atom_site_label
_atom_site_fract_x
_atom_site_fract_y
_atom_site_fract_z
In1 0.000 0.000 0.000
Fe1 0.500 0.500 0.253
Br1 0.000 0.000 0.500
```

- ΔE_f (raw): 2.28 eV/f.u.
- DFT total energy: -4.76 eV/atom
- Excess energy over the best structure of this formula in the dataset: 0.3712 eV per atom
- D(E_F): 5.5 states/eV/cell
- Crystal system: tetragonal
- M_tot: 5.72 μB/cell

What did the seventh record say?
A relaxed In2FeBr crystal, computed with GGA-PBE.

CIF file:
```
data_In2FeBr
_space_group_name_H-M_alt 'I m m 2'
_space_group_IT_number 44
_cell_length_a 3.190
_cell_length_b 5.590
_cell_length_c 10.600
_cell_angle_alpha 90.00
_cell_angle_beta 90.00
_cell_angle_gamma 90.00
loop_
_space_group_symop_operation_xyz
'x,y,z'
'-x,-y,z'
'-x,y,z'
'x,-y,z'
'x+1/2,y+1/2,z+1/2'
'-x+1/2,-y+1/2,z+1/2'
'-x+1/2,y+1/2,z+1/2'
'x+1/2,-y+1/2,z+1/2'
loop_
_atom_site_label
_atom_site_fract_x
_atom_site_fract_y
_atom_site_fract_z
In1 0.000 0.000 0.000
In2 0.000 0.500 0.215
Fe1 0.000 0.000 0.500
Br1 0.000 0.500 0.816
```

- ΔE_f (raw): 0.72 eV/f.u.
- DFT total energy: -3.72 eV/atom
- Excess energy over the best structure of this formula in the dataset: 0.1171 eV per atom
- D(E_F): 6.2 states/eV/cell
- Crystal system: orthorhombic
- M_tot: 5.88 μB/cell